## Tl2CoAu (PBE)

Data for crystalline Tl2CoAu at its relaxed geometry.

Calculated values
Calculated total energy in eV per atom: -3.375

abc: 3.2388 3.0503 8.3995
angles: 90.00 90.62 90.00
Positions (direct):
Tl 0.0085 0.0000 0.2029
Tl 0.9915 0.0000 0.7971
Co 0.5000 0.5000 0.0000
Au 0.0000 0.5000 0.5000

---

## Tl2CoAu (PBE)

Data for crystalline Tl2CoAu at its relaxed geometry.

Calculated values
Calculated total energy in eV per atom: -3.286

abc: 5.0317 5.0317 5.0317
angles: 125.25 125.25 81.13
Positions (direct):
Tl 0.2500 0.7500 0.5000
Tl 0.7500 0.2500 0.5000
Co 0.0000 0.0000 0.0000
Au 0.5000 0.5000 0.0000

---

## Tl2CoAu (PBE)

Data for crystalline Tl2CoAu at its relaxed geometry.

Calculated values
Calculated total energy in eV per atom: -3.256

abc: 6.1803 6.1803 6.1803
angles: 103.49 103.49 122.23
Positions (direct):
Tl 0.0955 0.6250 0.9705
Tl 0.3750 0.3455 0.4705
Tl 0.6545 0.1250 0.0295
Tl 0.8750 0.9045 0.5295
Co 0.0000 0.0000 0.0000
Co 0.7500 0.2500 0.5000
Au 0.2500 0.7500 0.5000
Au 0.5000 0.5000 0.0000

---

## TmCo4Au (PBE)

Data for crystalline TmCo4Au at its relaxed geometry.

Calculated values
Calculated total energy in eV per atom: -6.216

abc: 4.9361 4.9361 4.9361
angles: 60.00 60.00 60.00
Positions (direct):
Tm 0.0000 0.0000 0.0000
Co 0.1264 0.6245 0.6245
Co 0.6245 0.1264 0.6245
Co 0.6245 0.6245 0.1264
Co 0.6245 0.6245 0.6245
Au 0.2500 0.2500 0.2500

---

## Tm7Co2Au2 (PBE)

Data for crystalline Tm7Co2Au2 at its relaxed geometry.

Calculated values
Calculated total energy in eV per atom: -5.170

abc: 9.1855 9.1855 9.1855
angles: 157.14 65.85 119.19
Positions (direct):
Tm 0.0000 0.0000 0.0000
Tm 0.2994 0.4213 0.8781
Tm 0.3052 0.6168 0.6885
Tm 0.5433 0.4213 0.1219
Tm 0.6180 0.2633 0.3547
Tm 0.9086 0.2633 0.6453
Tm 0.9283 0.6168 0.3115
Co 0.1609 0.9150 0.2459
Co 0.6690 0.9150 0.7541
Au 0.2491 0.7491 0.5000
Au 0.6763 0.6763 0.0000

---

## Tm7Co2Au2 (PBE)

Data for crystalline Tm7Co2Au2 at its relaxed geometry.

Calculated values
Calculated total energy in eV per atom: -5.063

abc: 6.4964 6.4964 6.8007
angles: 90.00 90.00 108.76
Positions (direct):
Tm 0.0000 0.0000 0.0000
Tm 0.0000 0.5000 0.2501
Tm 0.0000 0.5000 0.7499
Tm 0.5000 0.0000 0.2501
Tm 0.5000 0.0000 0.7499
Tm 0.5000 0.5000 0.2423
Tm 0.5000 0.5000 0.7577
Co 0.2911 0.7089 0.0000
Co 0.7089 0.2911 0.0000
Au 0.1895 0.1895 0.5000
Au 0.8105 0.8105 0.5000

---

## Tm5CoAu2 (PBE)

Data for crystalline Tm5CoAu2 at its relaxed geometry.

Calculated values
Calculated total energy in eV per atom: -5.061

abc: 8.3723 11.5515 4.0056
angles: 90.00 90.00 90.00
Positions (direct):
Tm 0.0000 0.0000 0.0000
Tm 0.1527 0.3058 0.0000
Tm 0.1747 0.5790 0.5000
Tm 0.3253 0.0790 0.5000
Tm 0.3473 0.8058 0.0000
Tm 0.5000 0.5000 0.0000
Tm 0.6527 0.1942 0.0000
Tm 0.6747 0.9210 0.5000
Tm 0.8253 0.4210 0.5000
Tm 0.8473 0.6942 0.0000
Co 0.0000 0.5000 0.0000
Co 0.5000 0.0000 0.0000
Au 0.0614 0.8244 0.5000
Au 0.4386 0.3244 0.5000
Au 0.5614 0.6756 0.5000
Au 0.9386 0.1756 0.5000

---

## Tm4CoAu3 (PBE)

Data for crystalline Tm4CoAu3 at its relaxed geometry.

Calculated values
Calculated total energy in eV per atom: -5.066

abc: 3.4765 3.4765 14.1244
angles: 90.00 90.00 90.00
Positions (direct):
Tm 0.0000 0.0000 0.1138
Tm 0.0000 0.0000 0.3709
Tm 0.0000 0.0000 0.6291
Tm 0.0000 0.0000 0.8862
Co 0.5000 0.5000 0.0000
Au 0.5000 0.5000 0.2435
Au 0.5000 0.5000 0.5000
Au 0.5000 0.5000 0.7565

---

## Tm5CoAu4 (PBE)

Data for crystalline Tm5CoAu4 at its relaxed geometry.

Calculated values
Calculated total energy in eV per atom: -5.006

abc: 3.4868 3.4868 17.7219
angles: 90.00 90.00 90.00
Positions (direct):
Tm 0.0000 0.0000 0.0000
Tm 0.0000 0.0000 0.2052
Tm 0.0000 0.0000 0.4095
Tm 0.0000 0.0000 0.5905
Tm 0.0000 0.0000 0.7948
Co 0.5000 0.5000 0.5000
Au 0.5000 0.5000 0.1016
Au 0.5000 0.5000 0.3069
Au 0.5000 0.5000 0.6931
Au 0.5000 0.5000 0.8984

---

## Tm2Co2Au (PBE)

Data for crystalline Tm2Co2Au at its relaxed geometry.

Calculated values
Calculated total energy in eV per atom: -5.760

abc: 6.8892 6.8892 3.7661
angles: 90.00 90.00 148.69
Positions (direct):
Tm 0.1337 0.8663 0.0000
Tm 0.8663 0.1337 0.0000
Co 0.2964 0.7036 0.5000
Co 0.7036 0.2964 0.5000
Au 0.5000 0.5000 0.5000

---

## Tm12CoAu6 (PBE)

Data for crystalline Tm12CoAu6 at its relaxed geometry.

Calculated values
Calculated total energy in eV per atom: -4.709

abc: 8.1615 8.1615 8.1615
angles: 98.30 98.30 98.30
Positions (direct):
Tm 0.0270 0.9357 0.6879
Tm 0.0643 0.3121 0.9730
Tm 0.1855 0.5759 0.4272
Tm 0.3121 0.9730 0.0643
Tm 0.4241 0.5728 0.8145
Tm 0.4272 0.1855 0.5759
Tm 0.5728 0.8145 0.4241
Tm 0.5759 0.4272 0.1855
Tm 0.6879 0.0270 0.9357
Tm 0.8145 0.4241 0.5728
Tm 0.9357 0.6879 0.0270
Tm 0.9730 0.0643 0.3121
Co 0.0000 0.0000 0.0000
Au 0.1294 0.3063 0.6289
Au 0.3063 0.6289 0.1294
Au 0.3711 0.8706 0.6937
Au 0.6289 0.1294 0.3063
Au 0.6937 0.3711 0.8706
Au 0.8706 0.6937 0.3711

---

## Tm3CoAu (PBE)

Data for crystalline Tm3CoAu at its relaxed geometry.

Calculated values
Calculated total energy in eV per atom: -5.203

abc: 5.8175 5.8175 8.4110
angles: 112.35 112.35 64.61
Positions (direct):
Tm 0.0197 0.0197 0.2204
Tm 0.2928 0.2928 0.6711
Tm 0.3169 0.3169 0.1390
Tm 0.6831 0.6831 0.8610
Tm 0.7072 0.7072 0.3289
Tm 0.9803 0.9803 0.7796
Co 0.3137 0.6863 0.0000
Co 0.6863 0.3137 0.0000
Au 0.2719 0.7281 0.5000
Au 0.7281 0.2719 0.5000

---

Per-record formation enthalpy at 0 K, eV per atom: 0.40, 0.49, 0.52, -0.19, -0.44, -0.33, -0.56, -0.71, -0.75, -0.47, -0.48, -0.44